Record 1
DFT (PBE) results for a relaxed AgTe5W3 crystal.

Cell: 5.7793 5.7793 8.1667 Å, 90.00 90.00 120.00°
With the nearest neighbours (Å) after each atom.
Atoms (fractional coordinates):
W 0.5000 0.5000 0.5000  6 Te 2.80-2.89, 4 W 2.89
W 0.0000 0.5000 0.5000  6 Te 2.80-2.89, 4 W 2.89
W 0.5000 0.0000 0.5000  6 Te 2.80-2.89, 4 W 2.89
Te 0.3333 0.6667 0.2246  3 W 2.80
Te 0.6667 0.3333 0.2246  3 W 2.80
Te 0.0000 0.0000 0.5000  6 W 2.89
Te 0.6667 0.3333 0.7754  3 W 2.80
Te 0.3333 0.6667 0.7754  3 W 2.80
Ag 0.0000 0.0000 0.0000  14 Te 3.81-4.08



Record 2
DFT (PBE) results for a relaxed PaZnCd crystal.

Values from the calculation:
Formation energy from the elements in eV/f.u.: 0.86
Excess energy over the best structure of this formula in the dataset in eV per atom: 0.000

Cell: 4.6575 4.6575 4.6575 Å, 60.00 60.00 60.00°
With the nearest neighbours (Å) after each atom.
Atoms (fractional coordinates):
Zn 0.0000 0.0000 0.0000  4 Cd 2.85, 4 Pa 2.85
Pa 0.7500 0.7500 0.7500  4 Zn 2.85
Cd 0.2500 0.2500 0.2500  4 Zn 2.85



Record 3
DFT (PBE) results for a relaxed Er3Mg3Al2Ga crystal.

Cell: 7.3031 7.3031 4.4531 Å, 90.00 90.00 120.00°
With the nearest neighbours (Å) after each atom.
Atoms (fractional coordinates):
Er 0.4261 0.4261 0.0000  1 Ga 3.11, 4 Al 3.11, 2 Mg 3.30
Er 0.0000 0.5739 0.0000  1 Ga 3.11, 4 Al 3.11, 2 Mg 3.30
Er 0.5739 0.0000 0.0000  1 Ga 3.11, 4 Al 3.11, 2 Mg 3.30
Al 0.3333 0.6667 0.5000  3 Mg 2.83, 6 Er 3.11
Al 0.6667 0.3333 0.5000  3 Mg 2.83, 6 Er 3.11
Ga 0.0000 0.0000 0.0000  6 Mg 2.84, 3 Er 3.11
Mg 0.2405 0.0000 0.5000  2 Al 2.83, 2 Ga 2.84, 2 Mg 3.04
Mg 0.7595 0.7595 0.5000  2 Al 2.83, 2 Ga 2.84, 2 Mg 3.04
Mg 0.0000 0.2405 0.5000  2 Al 2.83, 2 Ga 2.84, 2 Mg 3.04



Record 4
DFT (PBE) results for a relaxed GdPd2Au crystal.

Values from the calculation:
Formation energy from the elements in eV/f.u.: -3.35

Cell: 4.2542 4.2542 4.0611 Å, 90.00 90.00 90.00°
With the nearest neighbours (Å) after each atom.
Atoms (fractional coordinates):
Pd 0.5000 0.0000 0.0000  4 Gd 2.94, 4 Au 2.94, 4 Pd 3.01
Pd 0.0000 0.5000 0.0000  4 Gd 2.94, 4 Au 2.94, 4 Pd 3.01
Gd 0.5000 0.5000 0.5000  8 Pd 2.94, 4 Au 3.01
Au 0.0000 0.0000 0.5000  8 Pd 2.94, 4 Gd 3.01



What did we get for size of the total moment? Answer: 0.02 0.90 0.00 0.00 μB per formula unit, in the order shown.
What did we get for DFT total energy? Answer: -53.47 -10.79 -32.06 -21.62 eV per cell, in the order shown.